Here is LaAs after structural relaxation from Alexandria. Energies are from PBE-GGA.

Properties
M_tot   0.00 μB/f.u.
Crystal system   tetragonal
E_form   -247 kJ/mol of formula units
DFT total energy   -0.4462 Ry/atom
Space group   P4/nmm

Cell lengths 5.380, 5.380, 3.728 Å; angles 90.00, 90.00, 90.00 degrees
Fractional positions:
As (0.250, 0.750, 0.000)
As (0.750, 0.250, 0.000)
La (0.250, 0.250, 0.365)
La (0.750, 0.750, 0.635)